DFT (PBE) results for crystalline HoAs2Pd7Pb2 at its relaxed geometry.

Computed properties:
- formation energy from the elements (eV/atom) = -0.4710
- DOS at the Fermi energy (states/eV per atom) = 0.379
- mass density (g cm⁻³) = 10.3

a b c (Å): 4.071 4.071 14.494
angles (deg): 94.52 94.52 90.01
Element x y z (fractional)
Ho  0.000  0.000  0.000
As  0.429  0.429  0.753
As  0.571  0.571  0.247
Pd  0.043  0.542  0.147
Pd  0.391  0.391  0.581
Pd  0.458  0.957  0.853
Pd  0.500  0.500  0.000
Pd  0.542  0.043  0.147
Pd  0.609  0.609  0.419
Pd  0.957  0.458  0.853
Pb  0.112  0.112  0.392
Pb  0.888  0.888  0.608